Entry 1:
Here is a relaxed NaCd3In7 crystal from the Alexandria database. Energies are from PBE.

```
NaCd3In7
1.0
-0.056 6.152 -4.277
0.453 -3.832 -5.517
-6.043 1.657 2.462
In Na Cd
7 1 3
direct
0.133 0.667 0.333
0.097 0.158 0.316
0.097 0.684 0.842
0.467 0.841 0.159
0.097 0.158 0.842
0.467 0.318 0.159
0.467 0.841 0.682
0.439 0.333 0.667
0.783 0.500 0.500
0.783 0.500 0.001
0.783 0.999 0.500
```

Results
Raw total energy ... -2.105 eV per atom
Size of the total moment ... 0.0 μB per formula unit
Energy of formation from the pure elements ... 0.01 eV per atom

=====

Entry 2:
Here is a relaxed Ca2La5Dy crystal from the Alexandria database. Energies are from PBE.

```
Ca2La5Dy
1.0
-3.351 3.831 1.330
-0.461 -2.074 4.813
10.198 5.191 0.337
La Dy Ca
5 1 2
direct
0.117 0.617 0.234
0.617 0.117 0.234
0.383 0.883 0.766
0.500 0.500 0.000
0.883 0.383 0.766
0.000 0.000 0.000
0.251 0.251 0.501
0.749 0.749 0.499
```

Results
Raw total energy ... -4.114 eV per atom
Size of the total moment ... 0.0 μB per formula unit
Energy of formation from the pure elements ... 0.04 eV per atom

=====

Entry 3:
Here is a relaxed PaCdHgO6 crystal from the Alexandria database. Energies are from PBE.

```
PaCdHgO6
1.0
-4.141 2.256 0.268
0.254 -0.204 5.637
2.215 4.395 -2.769
O Pa Cd Hg
6 1 1 1
direct
0.249 0.658 0.982
0.249 0.324 0.342
0.249 0.018 0.676
0.751 0.658 0.676
0.751 0.018 0.342
0.751 0.324 0.982
0.000 0.333 0.667
0.500 0.667 0.333
0.500 0.000 0.000
```

Results
Raw total energy ... -5.840 eV per atom
Size of the total moment ... 0.0 μB per formula unit
Uncorrected formation energy ... -1167 kJ/mol of formula units